1.
Compound: Ba2LaMgO
Source: Alexandria via LeMat-Bulk
Functional: PBE-GGA
Structure: relaxed

Unit cell a=6.0191 b=6.0191 c=4.7053 alpha=90.00 beta=90.00 gamma=90.00
Last column: nearest neighbours and their distance in Å.
Fractional positions:
Ba  0.0000  0.5000  0.0000  2 O 3.01
Ba  0.5000  0.0000  0.0000  2 O 3.01
La  0.0000  0.0000  0.5000  2 O 2.35
Mg  0.5000  0.5000  0.5000  8 Ba 3.82, 4 La 4.26
O  0.0000  0.0000  0.0000  2 La 2.35

Computed properties:
Formation energy (no corrections): -1043 meV per atom
Total moment: 0.00 μB per formula unit

---

2.
Compound: BaLaMgRuO6
Source: Alexandria via LeMat-Bulk
Functional: PBE-GGA
Structure: relaxed

Unit cell a=5.7163 b=5.7163 c=5.7163 alpha=120.61 beta=120.61 gamma=88.95
Last column: nearest neighbours and their distance in Å.
Fractional positions:
Ba  0.0000  0.0000  0.0000  12 O 2.73-3.04
La  0.5000  0.5000  0.0000  4 O 2.49
Mg  0.2500  0.7500  0.5000  6 O 2.09-2.10
Ru  0.7500  0.2500  0.5000  6 O 1.98-1.99
O  0.0588  0.0724  0.5947  1 Ru 1.99, 1 Mg 2.10
O  0.4778  0.4641  0.4053  1 Ru 1.99, 1 Mg 2.10
O  0.5067  0.0067  0.5000  1 Ru 1.98, 1 Mg 2.09
O  0.5359  0.9412  0.0136  1 Ru 1.99, 1 Mg 2.10
O  0.9276  0.5222  0.9864  1 Ru 1.99, 1 Mg 2.10
O  0.9933  0.4933  0.5000  1 Ru 1.98, 1 Mg 2.09

Computed properties:
Formation energy (no corrections): -2339 meV per atom
Total moment: 3.00 μB per formula unit

---

3.
Compound: BaLaMgTaO6
Source: Alexandria via LeMat-Bulk
Functional: PBE-GGA
Structure: relaxed

Unit cell a=5.7448 b=5.7448 c=5.7448 alpha=60.00 beta=60.00 gamma=60.00
Last column: nearest neighbours and their distance in Å.
Fractional positions:
Ba  0.0000  0.0000  0.0000  12 O 2.87
La  0.5000  0.5000  0.5000  12 O 2.87
Mg  0.2500  0.2500  0.2500  6 O 2.07
Ta  0.7500  0.7500  0.7500  6 O 1.99
O  0.5045  0.5045  0.9955  1 Ta 1.99, 1 Mg 2.07
O  0.5045  0.9955  0.5045  1 Ta 1.99, 1 Mg 2.07
O  0.5045  0.9955  0.9955  1 Ta 1.99, 1 Mg 2.07
O  0.9955  0.5045  0.5045  1 Ta 1.99, 1 Mg 2.07
O  0.9955  0.5045  0.9955  1 Ta 1.99, 1 Mg 2.07
O  0.9955  0.9955  0.5045  1 Ta 1.99, 1 Mg 2.07

Computed properties:
Formation energy (no corrections): -3021 meV per atom
Total moment: 0.00 μB per formula unit

---

4.
Compound: Ba2La2MgTi3O12
Source: Alexandria via LeMat-Bulk
Functional: PBE-GGA
Structure: relaxed

Unit cell a=9.6923 b=9.6923 c=9.6923 alpha=34.11 beta=34.11 gamma=34.11
Last column: nearest neighbours and their distance in Å.
Fractional positions:
Ba  0.1245  0.1245  0.1245  12 O 2.84-2.90
Ba  0.8755  0.8755  0.8755  12 O 2.84-2.90
La  0.3736  0.3736  0.3736  12 O 2.69-2.84
La  0.6264  0.6264  0.6264  12 O 2.69-2.84
Mg  0.0000  0.0000  0.0000  6 O 2.04
Ti  0.2528  0.2528  0.2528  6 O 1.91-2.05
Ti  0.5000  0.5000  0.5000  6 O 1.99
Ti  0.7472  0.7472  0.7472  6 O 1.91-2.05
O  0.1331  0.6179  0.6179  2 Ti 1.99-2.05
O  0.1359  0.1359  0.6088  1 Ti 1.91, 1 Mg 2.04
O  0.1359  0.6088  0.1359  1 Ti 1.91, 1 Mg 2.04
O  0.3821  0.3821  0.8669  2 Ti 1.99-2.05
O  0.3821  0.8669  0.3821  2 Ti 1.99-2.05
O  0.3912  0.8641  0.8641  1 Ti 1.91, 1 Mg 2.04
O  0.6088  0.1359  0.1359  1 Ti 1.91, 1 Mg 2.04
O  0.6179  0.1331  0.6179  2 Ti 1.99-2.05
O  0.6179  0.6179  0.1331  2 Ti 1.99-2.05
O  0.8641  0.3912  0.8641  1 Ti 1.91, 1 Mg 2.04
O  0.8641  0.8641  0.3912  1 Ti 1.91, 1 Mg 2.04
O  0.8669  0.3821  0.3821  2 Ti 1.99-2.05

Computed properties:
Formation energy (no corrections): -3135 meV per atom
Total moment: 0.00 μB per formula unit

---

5.
Compound: BaLaMg2Os
Source: Alexandria via LeMat-Bulk
Functional: PBE-GGA
Structure: relaxed

Unit cell a=5.4132 b=5.4132 c=5.2343 alpha=90.00 beta=90.00 gamma=90.00
Last column: nearest neighbours and their distance in Å.
Fractional positions:
Ba  0.0000  0.0000  0.0000  8 Mg 3.76, 4 La 3.83
La  0.5000  0.5000  0.0000  2 Os 2.62
Mg  0.0000  0.5000  0.5000  2 Os 2.71
Mg  0.5000  0.0000  0.5000  2 Os 2.71
Os  0.5000  0.5000  0.5000  2 La 2.62, 4 Mg 2.71

Computed properties:
Formation energy: 0.020 eV per atom
Total moment: 0.00 μB per formula unit

---

6.
Compound: Ba2LaMgPd
Source: Alexandria via LeMat-Bulk
Functional: PBE-GGA
Structure: relaxed

Unit cell a=6.3066 b=6.3066 c=5.5848 alpha=90.00 beta=90.00 gamma=90.00
Last column: nearest neighbours and their distance in Å.
Fractional positions:
Ba  0.0000  0.5000  0.0000  2 Pd 3.15
Ba  0.5000  0.0000  0.0000  2 Pd 3.15
La  0.0000  0.0000  0.5000  2 Pd 2.79
Mg  0.5000  0.5000  0.5000  8 Ba 4.21, 4 La 4.46
Pd  0.0000  0.0000  0.0000  2 La 2.79

Computed properties:
Formation energy: -0.123 eV per atom
Total moment: 0.00 μB per formula unit

---

7.
Compound: BaLa2MgPd
Source: Alexandria via LeMat-Bulk
Functional: PBE-GGA
Structure: relaxed

Unit cell a=5.7581 b=5.7581 c=5.4406 alpha=90.00 beta=90.00 gamma=90.00
Last column: nearest neighbours and their distance in Å.
Fractional positions:
Ba  0.0000  0.0000  0.0000  8 La 3.96, 4 Mg 4.07
La  0.0000  0.5000  0.5000  2 Pd 2.88
La  0.5000  0.0000  0.5000  2 Pd 2.88
Mg  0.5000  0.5000  0.0000  2 Pd 2.72
Pd  0.5000  0.5000  0.5000  2 Mg 2.72, 4 La 2.88

Computed properties:
Formation energy: -0.224 eV per atom
Total moment: 0.00 μB per formula unit

---

8.
Compound: BaLaMg2Pt
Source: Alexandria via LeMat-Bulk
Functional: PBE-GGA
Structure: relaxed

Unit cell a=5.3919 b=5.3919 c=5.4893 alpha=90.00 beta=90.00 gamma=90.00
Last column: nearest neighbours and their distance in Å.
Fractional positions:
Ba  0.0000  0.0000  0.0000  4 La 3.81, 8 Mg 3.85
La  0.5000  0.5000  0.0000  2 Pt 2.74
Mg  0.0000  0.5000  0.5000  2 Pt 2.70
Mg  0.5000  0.0000  0.5000  2 Pt 2.70
Pt  0.5000  0.5000  0.5000  4 Mg 2.70, 2 La 2.74

Computed properties:
Formation energy: -0.445 eV per atom
Total moment: 0.00 μB per formula unit

---

9.
Compound: BaLa2MgPt
Source: Alexandria via LeMat-Bulk
Functional: PBE-GGA
Structure: relaxed

Unit cell a=5.7620 b=5.7620 c=5.4163 alpha=90.00 beta=90.00 gamma=90.00
Last column: nearest neighbours and their distance in Å.
Fractional positions:
Ba  0.0000  0.0000  0.0000  8 La 3.95, 4 Mg 4.07
La  0.0000  0.5000  0.5000  2 Pt 2.88
La  0.5000  0.0000  0.5000  2 Pt 2.88
Mg  0.5000  0.5000  0.0000  2 Pt 2.71
Pt  0.5000  0.5000  0.5000  2 Mg 2.71, 4 La 2.88

Computed properties:
Formation energy: -0.406 eV per atom
Total moment: 0.00 μB per formula unit

---

10.
Compound: Ba2LaMgPt
Source: Alexandria via LeMat-Bulk
Functional: PBE-GGA
Structure: relaxed

Unit cell a=6.3278 b=6.3278 c=5.5513 alpha=90.00 beta=90.00 gamma=90.00
Last column: nearest neighbours and their distance in Å.
Fractional positions:
Ba  0.0000  0.5000  0.0000  2 Pt 3.16
Ba  0.5000  0.0000  0.0000  2 Pt 3.16
La  0.0000  0.0000  0.5000  2 Pt 2.78
Mg  0.5000  0.5000  0.5000  8 Ba 4.21, 4 La 4.47
Pt  0.0000  0.0000  0.0000  2 La 2.78

Computed properties:
Formation energy: -0.304 eV per atom
Total moment: 0.00 μB per formula unit

---

11.
Compound: Ba2LaMgRu
Source: Alexandria via LeMat-Bulk
Functional: PBE-GGA
Structure: relaxed

Unit cell a=6.2800 b=6.2800 c=5.1653 alpha=90.00 beta=90.00 gamma=90.00
Last column: nearest neighbours and their distance in Å.
Fractional positions:
Ba  0.0000  0.5000  0.0000  2 Ru 3.14
Ba  0.5000  0.0000  0.0000  2 Ru 3.14
La  0.0000  0.0000  0.5000  2 Ru 2.58
Mg  0.5000  0.5000  0.5000  8 Ba 4.07, 4 La 4.44
Ru  0.0000  0.0000  0.0000  2 La 2.58

Computed properties:
Formation energy: 0.080 eV per atom
Total moment: 0.00 μB per formula unit

---

12.
Compound: Ba3La3MgSe8
Source: Alexandria via LeMat-Bulk
Functional: PBE-GGA
Structure: relaxed

Unit cell a=9.0929 b=9.0929 c=9.0929 alpha=57.53 beta=57.53 gamma=57.53
Last column: nearest neighbours and their distance in Å.
Fractional positions:
Ba  0.0000  0.5000  0.5000  6 Se 3.26-3.30
Ba  0.5000  0.0000  0.5000  6 Se 3.26-3.30
Ba  0.5000  0.5000  0.0000  6 Se 3.26-3.30
La  0.0000  0.0000  0.5000  6 Se 3.04-3.05
La  0.0000  0.5000  0.0000  6 Se 3.04-3.05
La  0.5000  0.0000  0.0000  6 Se 3.04-3.05
Mg  0.5000  0.5000  0.5000  6 Se 2.89
Se  0.2424  0.2424  0.2424  3 La 3.05, 3 Ba 3.26
Se  0.2517  0.7295  0.7295  1 Mg 2.89, 2 La 3.04
Se  0.2705  0.2705  0.7483  1 Mg 2.89, 2 La 3.04
Se  0.2705  0.7483  0.2705  1 Mg 2.89, 2 La 3.04
Se  0.7295  0.2517  0.7295  1 Mg 2.89, 2 La 3.04
Se  0.7295  0.7295  0.2517  1 Mg 2.89, 2 La 3.04
Se  0.7483  0.2705  0.2705  1 Mg 2.89, 2 La 3.04
Se  0.7576  0.7576  0.7576  3 La 3.05, 3 Ba 3.26

Computed properties:
Formation energy (no corrections): -1876 meV per atom
Total moment: 0.00 μB per formula unit

---

total moment of number 3 (BaLaMgTaO6)? 0.00 μB per formula unit

---

Please write out number 2 again, unchanged.
Compound: BaLaMgRuO6
Source: Alexandria via LeMat-Bulk
Functional: PBE-GGA
Structure: relaxed

Unit cell a=5.7163 b=5.7163 c=5.7163 alpha=120.61 beta=120.61 gamma=88.95
Last column: nearest neighbours and their distance in Å.
Fractional positions:
Ba  0.0000  0.0000  0.0000  12 O 2.73-3.04
La  0.5000  0.5000  0.0000  4 O 2.49
Mg  0.2500  0.7500  0.5000  6 O 2.09-2.10
Ru  0.7500  0.2500  0.5000  6 O 1.98-1.99
O  0.0588  0.0724  0.5947  1 Ru 1.99, 1 Mg 2.10
O  0.4778  0.4641  0.4053  1 Ru 1.99, 1 Mg 2.10
O  0.5067  0.0067  0.5000  1 Ru 1.98, 1 Mg 2.09
O  0.5359  0.9412  0.0136  1 Ru 1.99, 1 Mg 2.10
O  0.9276  0.5222  0.9864  1 Ru 1.99, 1 Mg 2.10
O  0.9933  0.4933  0.5000  1 Ru 1.98, 1 Mg 2.09

Computed properties:
Formation energy (no corrections): -2339 meV per atom
Total moment: 3.00 μB per formula unit